Crystalline ReBiOs2Pd at its relaxed geometry, computed with PBE.

Results
DOS(E_F)	1.46	states/eV per atom
total moment	1.5	Bohr magnetons per cell
E_form	2.69	eV per atom

Cell: 4.7373 4.7373 4.9535 Å, 90.00 90.00 90.00°
Space group P4/mmm (No. 123)
Symmetry-distinct sites (fractional):
1 Re 0.0000 0.0000 0.0000 [1 per cell]
2 Bi 0.5000 0.5000 0.0000 [1 per cell]
3 Os 0.0000 0.5000 0.5000 [2 per cell]
4 Pd 0.5000 0.5000 0.5000 [1 per cell]